{"formula": "TbEr2Co", "functional": "PBE", "state": "relaxed", "lattice": [[3.365, 0.000, 0.000], [0.000, 3.365, 0.000], [0.000, 0.000, 8.796]], "species": ["Tb", "Co", "Er", "Er"], "fractional_positions": [[0.500, 0.500, 0.500], [0.500, 0.500, 0.000], [0.000, 0.000, 0.182], [0.000, 0.000, 0.818]], "relative_energy_kj_per_mol_atoms": 9.2, "ef_kcal_per_mol_atoms": -1.86}

---

{"formula": "Ba6GeI5", "functional": "PBE", "state": "relaxed", "lattice": [[-2.298, -4.722, 6.853], [6.388, 0.255, 5.902], [0.085, 6.147, 6.056]], "species": ["Ba", "Ba", "Ba", "Ba", "Ba", "Ba", "I", "I", "I", "I", "I", "Ge"], "fractional_positions": [[0.227, 0.618, 0.308], [0.773, 0.382, 0.692], [0.237, 0.225, 0.000], [0.227, 0.926, 0.692], [0.763, 0.775, 0.000], [0.773, 0.074, 0.308], [0.500, 0.500, 0.000], [0.000, 0.664, 0.672], [0.000, 0.336, 0.328], [0.500, 0.824, 0.353], [0.500, 0.176, 0.647], [0.000, 0.000, 0.000]], "e_tot_ev_per_atom": -3.267}

---

{"formula": "NiSb2N2", "functional": "PBE", "state": "relaxed", "lattice": [[-0.098, 1.289, 3.839], [-3.404, -0.360, 2.165], [2.209, -8.721, 4.234]], "species": ["N", "N", "Ni", "Sb", "Sb"], "fractional_positions": [[0.555, 0.555, 0.454], [0.445, 0.445, 0.546], [0.000, 0.000, 0.000], [0.313, 0.313, 0.108], [0.687, 0.687, 0.892]], "e_tot_ev_per_atom": -6.147}

---

{"formula": "BeIrPd", "functional": "PBE", "state": "relaxed", "lattice": [[2.767, 0.000, 0.000], [0.000, 2.767, 0.000], [-1.383, -1.383, 4.906]], "species": ["Pd", "Be", "Ir"], "fractional_positions": [[0.019, 0.019, 0.037], [0.672, 0.672, 0.344], [0.309, 0.309, 0.619]], "relative_energy_kj_per_mol_atoms": 0.0, "ef_kcal_per_mol_atoms": -6.77}

---

{"formula": "ZnCuOs", "functional": "PBE", "state": "relaxed", "lattice": [[2.793, 0.000, 0.000], [0.000, 2.793, 0.000], [0.000, 0.000, 10.441]], "species": ["Cu", "Cu", "Os", "Os", "Zn", "Zn"], "fractional_positions": [[0.000, 0.500, 0.925], [0.500, 0.000, 0.075], [0.000, 0.500, 0.581], [0.500, 0.000, 0.419], [0.500, 0.000, 0.763], [0.000, 0.500, 0.237]], "relative_energy_kj_per_mol_atoms": 0.0, "ef_kcal_per_mol_atoms": 0.32}

---

{"formula": "OsAuCl2", "functional": "PBE", "state": "relaxed", "lattice": [[-1.568, -1.347, -2.090], [3.368, -3.148, -0.498], [-1.271, -5.461, 4.471]], "species": ["Os", "Cl", "Cl", "Au"], "fractional_positions": [[0.000, 0.265, 0.595], [0.000, 0.098, 0.931], [0.500, 0.400, 0.324], [0.500, 0.737, 0.651]], "relative_energy_kj_per_mol_atoms": 0.0}

---

Please write out number 4 again, unchanged.
{"formula": "BeIrPd", "functional": "PBE", "state": "relaxed", "lattice": [[2.767, 0.000, 0.000], [0.000, 2.767, 0.000], [-1.383, -1.383, 4.906]], "species": ["Pd", "Be", "Ir"], "fractional_positions": [[0.019, 0.019, 0.037], [0.672, 0.672, 0.344], [0.309, 0.309, 0.619]], "relative_energy_kj_per_mol_atoms": 0.0, "ef_kcal_per_mol_atoms": -6.77}